(1)
Density functional theory data (PBEsol) for a geometry-optimized LiBeSi2 structure.

Values from the calculation:
Formation energy (no corrections): 61 kJ/mol of formula units
Raw total energy: -4.206 eV per atom

Cell: 3.2472 3.2472 4.8232 Å, 90.00 90.00 90.00°
Space group P4mm (No. 99)
One atom of each set of equivalent atoms:
Li (0.0000, 0.0000, 0.0000) x1
Be (0.5000, 0.5000, 0.7368) x1
Si (0.0000, 0.0000, 0.5057) x1
Si (0.5000, 0.5000, 0.2636) x1

(2)
Density functional theory data (PBEsol) for a geometry-optimized CdHg2 structure.

Values from the calculation:
Relative energy among the computed polymorphs: 12 meV per atom
ΔE_f: 0.004 eV/atom
Raw total energy: -0.773 eV per atom

Cell: 8.1076 8.1076 3.5812 Å, 90.00 90.00 120.00°
Space group P-62m (No. 189)
One atom of each set of equivalent atoms:
Cd (0.0000, 0.0000, 0.0000) x1
Cd (0.3333, 0.6667, 0.5000) x2
Hg (0.0000, 0.3787, 0.0000) x3
Hg (0.0000, 0.7113, 0.5000) x3

(3)
Density functional theory data (PBEsol) for a geometry-optimized CaMnRe2Tc structure.

Values from the calculation:
ΔE_f: 3.021 eV/atom
Raw total energy: -6.944 eV per atom

Cell: 4.5145 4.5145 4.1597 Å, 90.00 90.00 90.00°
Space group P4/mmm (No. 123)
One atom of each set of equivalent atoms:
Ca (0.0000, 0.0000, 0.0000) x1
Mn (0.0000, 0.0000, 0.5000) x1
Re (0.0000, 0.5000, 0.0000) x2
Tc (0.5000, 0.5000, 0.5000) x1

(4)
Density functional theory data (PBEsol) for a geometry-optimized MgSb2Pb structure.

Values from the calculation:
Relative energy among the computed polymorphs: 14 meV per atom
Formation energy (no corrections): -23 kJ/mol of formula units
Raw total energy: -3.766 eV per atom

Cell: 3.2553 4.0128 8.0431 Å, 90.00 93.67 90.00°
Space group P2/m (No. 10)
One atom of each set of equivalent atoms:
Mg (0.0000, 0.0000, 0.0000) x1
Sb (0.4557, 0.5000, 0.7806) x2
Pb (0.0000, 0.0000, 0.5000) x1